[1]
The following is a DFT calculation (meta-GGA SCAN) of a PBEsol-optimized structure of Al2ZnReBr.

Cell and atoms, written as POSCAR:
```
Al2ZnReBr
1.0
4.925 0.000 0.000
0.000 4.925 0.000
0.000 0.000 4.829
Al Zn Re Br
2 1 1 1
direct
0.000 0.500 0.000
0.500 0.000 0.000
0.000 0.000 0.500
0.500 0.500 0.000
0.500 0.500 0.500
```

Properties
Formation energy without anion corrections ... 0.75 eV per atom

***

[2]
The following is a DFT calculation (meta-GGA SCAN) of a PBEsol-optimized structure of Ba2Lu2CuPtO8.

Cell and atoms, written as POSCAR:
```
Ba2Lu2CuPtO8
1.0
13.009 0.000 0.000
0.000 5.585 0.000
0.000 0.000 10.183
Ba Lu Cu Pt O
8 8 4 4 32
direct
0.076 0.250 0.092
0.206 0.750 0.313
0.294 0.250 0.813
0.424 0.750 0.592
0.576 0.250 0.408
0.706 0.750 0.187
0.794 0.250 0.687
0.924 0.750 0.908
0.083 0.250 0.487
0.141 0.750 0.685
0.359 0.250 0.185
0.417 0.750 0.987
0.583 0.250 0.013
0.641 0.750 0.815
0.859 0.250 0.315
0.917 0.750 0.513
0.040 0.250 0.765
0.460 0.750 0.265
0.540 0.250 0.735
0.960 0.750 0.235
0.195 0.750 0.965
0.305 0.250 0.465
0.695 0.750 0.535
0.805 0.250 0.035
0.008 0.004 0.633
0.008 0.496 0.633
0.086 0.750 0.106
0.115 0.511 0.856
0.115 0.989 0.856
0.202 0.250 0.313
0.214 0.009 0.556
0.214 0.491 0.556
0.286 0.509 0.056
0.286 0.991 0.056
0.298 0.750 0.813
0.385 0.011 0.356
0.385 0.489 0.356
0.414 0.250 0.606
0.492 0.504 0.133
0.492 0.996 0.133
0.508 0.004 0.867
0.508 0.496 0.867
0.586 0.750 0.394
0.615 0.511 0.644
0.615 0.989 0.644
0.702 0.250 0.187
0.714 0.009 0.944
0.714 0.491 0.944
0.786 0.509 0.444
0.786 0.991 0.444
0.798 0.750 0.687
0.885 0.011 0.144
0.885 0.489 0.144
0.914 0.250 0.894
0.992 0.504 0.367
0.992 0.996 0.367
```

Properties
Formation energy without anion corrections ... -2.63 eV per atom

***

[3]
The following is a DFT calculation (meta-GGA SCAN) of a PBEsol-optimized structure of Cs2TeH6Cl2O6.

Cell and atoms, written as POSCAR:
```
Cs2TeH6Cl2O6
1.0
6.273 0.000 0.000
0.000 11.005 0.000
-2.396 0.000 7.401
Cs Te H Cl O
4 2 12 4 12
direct
0.241 0.129 0.057
0.241 0.371 0.557
0.759 0.629 0.443
0.759 0.871 0.943
0.000 0.000 0.500
0.000 0.500 0.000
0.160 0.646 0.828
0.160 0.854 0.328
0.226 0.656 0.204
0.226 0.844 0.704
0.386 0.083 0.577
0.386 0.417 0.077
0.614 0.583 0.923
0.614 0.917 0.423
0.774 0.156 0.296
0.774 0.344 0.796
0.840 0.146 0.672
0.840 0.354 0.172
0.380 0.671 0.695
0.380 0.829 0.195
0.620 0.171 0.805
0.620 0.329 0.305
0.018 0.644 0.863
0.018 0.856 0.363
0.177 0.573 0.227
0.177 0.927 0.727
0.265 0.070 0.459
0.265 0.430 0.959
0.735 0.570 0.041
0.735 0.930 0.541
0.823 0.073 0.273
0.823 0.427 0.773
0.982 0.144 0.637
0.982 0.356 0.137
```

Properties
Raw total energy ... -418.789 eV per cell